[1]
A plane-wave DFT calculation with PBE was carried out for an optimized crystal structure of CeTc2H8.

Values from the calculation:
The value obtained for the density of states at the Fermi level is 3.19 states/eV/cell. As for the distance to the lowest polymorph of the same formula: 9 meV per atom.

a = 4.677 Å, b = 4.677 Å, c = 4.571 Å
α = 91.24°, β = 91.24°, γ = 118.52°
Atoms (fractional coordinates):
Ce: 0.000 0.000 0.000
Tc: 0.247 0.568 0.515
Tc: 0.568 0.247 0.515
H: 0.044 0.543 0.191
H: 0.168 0.923 0.482
H: 0.482 0.482 0.806
H: 0.513 0.955 0.774
H: 0.528 0.528 0.255
H: 0.543 0.044 0.191
H: 0.923 0.168 0.482
H: 0.955 0.513 0.774

---

[2]
A plane-wave DFT calculation with PBE was carried out for an optimized crystal structure of La2TlReN.

Values from the calculation:
Its raw formation energy is -2.610 eV per formula unit. The value obtained for the density of states at the Fermi level is 3.21 states/eV/cell.

a = 5.407 Å, b = 5.407 Å, c = 3.933 Å
α = 90.00°, β = 90.00°, γ = 90.00°
Atoms (fractional coordinates):
La: 0.000 0.500 0.000
La: 0.500 0.000 0.000
Tl: 0.000 0.000 0.500
Re: 0.500 0.500 0.500
N: 0.500 0.500 0.000

---

[3]
A plane-wave DFT calculation with PBE was carried out for an optimized crystal structure of PuMg2H8Rh.

Values from the calculation:
The calculated total energy comes out at -0.3355 Ry/atom. The value obtained for the density of states at the Fermi level is 11.52 states/eV/cell.

a = 4.408 Å, b = 4.408 Å, c = 6.576 Å
α = 90.00°, β = 90.00°, γ = 120.00°
Atoms (fractional coordinates):
Pu: 0.000 0.000 0.000
Mg: 0.333 0.667 0.345
Mg: 0.667 0.333 0.655
H: 0.168 0.337 0.674
H: 0.168 0.832 0.674
H: 0.333 0.667 0.052
H: 0.337 0.168 0.326
H: 0.663 0.832 0.674
H: 0.667 0.333 0.948
H: 0.832 0.168 0.326
H: 0.832 0.663 0.326
Rh: 0.000 0.000 0.500

---

[4]
A plane-wave DFT calculation with PBE was carried out for an optimized crystal structure of Pr8ZnOs3Br4.

Values from the calculation:
Its raw formation energy is -11.077 eV per formula unit. The value obtained for the density of states at the Fermi level is 6.13 states/eV/cell.

a = 9.247 Å, b = 9.247 Å, c = 9.247 Å
α = 53.98°, β = 53.98°, γ = 53.98°
Atoms (fractional coordinates):
Pr: 0.216 0.741 0.741
Pr: 0.234 0.234 0.234
Pr: 0.259 0.259 0.784
Pr: 0.259 0.784 0.259
Pr: 0.741 0.216 0.741
Pr: 0.741 0.741 0.216
Pr: 0.766 0.766 0.766
Pr: 0.784 0.259 0.259
Zn: 0.500 0.500 0.500
Os: 0.000 0.000 0.500
Os: 0.000 0.500 0.000
Os: 0.500 0.000 0.000
Br: 0.000 0.000 0.000
Br: 0.000 0.500 0.500
Br: 0.500 0.000 0.500
Br: 0.500 0.500 0.000

---

[5]
A plane-wave DFT calculation with PBE was carried out for an optimized crystal structure of HoZr2Mo.

Values from the calculation:
The formation energy is 0.06 eV per atom. The value obtained for the density of states at the Fermi level is 6.13 states/eV/cell. As for the distance to the lowest polymorph of the same formula: 0 meV per atom.

a = 3.443 Å, b = 3.443 Å, c = 7.682 Å
α = 90.00°, β = 90.00°, γ = 90.00°
Atoms (fractional coordinates):
Ho: 0.000 0.000 0.000
Zr: 0.500 0.500 0.300
Zr: 0.500 0.500 0.700
Mo: 0.000 0.000 0.500

---

[6]
A plane-wave DFT calculation with PBE was carried out for an optimized crystal structure of CsK3Hg3.

Values from the calculation:
The formation energy is -0.19 eV per atom. The value obtained for the density of states at the Fermi level is 5.53 states/eV/cell. As for the distance to the lowest polymorph of the same formula: 0 meV per atom.

a = 10.725 Å, b = 10.725 Å, c = 10.725 Å
α = 50.19°, β = 50.19°, γ = 50.19°
Atoms (fractional coordinates):
Cs: 0.078 0.078 0.078
Cs: 0.922 0.922 0.922
K: 0.097 0.598 0.598
K: 0.402 0.402 0.903
K: 0.402 0.903 0.402
K: 0.598 0.097 0.598
K: 0.598 0.598 0.097
K: 0.903 0.402 0.402
Hg: 0.211 0.211 0.577
Hg: 0.211 0.577 0.211
Hg: 0.423 0.789 0.789
Hg: 0.577 0.211 0.211
Hg: 0.789 0.423 0.789
Hg: 0.789 0.789 0.423